# PrNdYEr (PBE, optimized geometry)
# - calculated total energy (eV/atom) = -5.044
data_PrNdYEr
_cell_length_a 8.1472
_cell_length_b 8.1472
_cell_length_c 8.1472
_cell_angle_alpha 90.00
_cell_angle_beta 90.00
_cell_angle_gamma 90.00
_symmetry_space_group_name_H-M 'F -4 3 m'
_symmetry_Int_Tables_number 216
_symmetry_space_group_name_Hall 'F -4 2 3'
loop_
_atom_site_label
_atom_site_fract_x
_atom_site_fract_y
_atom_site_fract_z
Pr1 0.0000 0.0000 0.0000
Nd1 0.0000 0.0000 0.5000
Y1 0.2500 0.2500 0.2500
Er1 0.2500 0.2500 0.7500


# BeIn2PbW (PBE, optimized geometry)
# - calculated total energy (eV/atom) = -3.145
data_BeIn2PbW
_cell_length_a 5.8304
_cell_length_b 5.8304
_cell_length_c 5.3981
_cell_angle_alpha 90.00
_cell_angle_beta 90.00
_cell_angle_gamma 90.00
_symmetry_space_group_name_H-M 'P 4/m m m'
_symmetry_Int_Tables_number 123
_symmetry_space_group_name_Hall '-P 4 2'
loop_
_atom_site_label
_atom_site_fract_x
_atom_site_fract_y
_atom_site_fract_z
Be1 0.0000 0.0000 0.0000
In1 0.0000 0.5000 0.5000
Pb1 0.5000 0.5000 0.5000
W1 0.5000 0.5000 0.0000


# LaHg2Br (PBE, optimized geometry)
# - formation energy (no corrections) (eV/atom) = -0.42
data_LaHg2Br
_cell_length_a 3.8583
_cell_length_b 3.8583
_cell_length_c 28.1962
_cell_angle_alpha 90.00
_cell_angle_beta 90.00
_cell_angle_gamma 120.00
_symmetry_space_group_name_H-M 'R -3 m'
_symmetry_Int_Tables_number 166
_symmetry_space_group_name_Hall '-R 3 2"'
loop_
_atom_site_label
_atom_site_fract_x
_atom_site_fract_y
_atom_site_fract_z
La1 0.0000 0.0000 0.0000
Hg1 0.0000 0.0000 0.2449
Br1 0.0000 0.0000 0.5000


# Ac2AgP3Rh12 (PBE, optimized geometry)
# - calculated total energy (eV/atom) = -6.560
data_Ac2AgP3Rh12
_cell_length_a 8.5712
_cell_length_b 8.5712
_cell_length_c 15.5308
_cell_angle_alpha 90.00
_cell_angle_beta 90.00
_cell_angle_gamma 120.00
_symmetry_space_group_name_H-M 'R -3 m'
_symmetry_Int_Tables_number 166
_symmetry_space_group_name_Hall '-R 3 2"'
loop_
_atom_site_label
_atom_site_fract_x
_atom_site_fract_y
_atom_site_fract_z
Ac1 0.0000 0.0000 0.1092
Ag1 0.0000 0.0000 0.5000
P1 0.0000 0.5000 0.0000
Rh1 0.0074 0.5037 0.8585
Rh2 0.0595 0.5297 0.3562